No. 1
Here is a relaxed MnTe2Au crystal from Alexandria via LeMat-Bulk. Energies are from PBE.

Summary:
Volume (Å³ per cell): 197
Raw total energy (eV for the cell shown): -36.95
ΔE to the lowest computed polymorph (eV per atom): 0.1543
Energy relative to the elements, uncorrected (eV/atom): 0.06

a b c (Å): 8.557 3.605 7.311
angles (deg): 117.06 100.50 83.44
Atoms (fractional coordinates):
Mn (0.067, 0.384, 0.985)
Te (0.429, 0.536, 0.381)
Te (0.299, 0.625, 0.894)
Te (0.800, 0.030, 0.791)
Au (0.115, 0.783, 0.586)
Mn (0.163, 0.182, 0.187)
Au (0.615, 0.283, 0.086)
Te (0.931, 0.941, 0.278)

---

No. 2
Here is a relaxed Ni2IrAu crystal from Alexandria via LeMat-Bulk. Energies are from PBE.

Summary:
Volume (Å³ per cell): 55
Calculated formation energy (meV per atom): 114.0
Raw total energy (eV for the cell shown): -23.25
ΔE to the lowest computed polymorph (eV per atom): 0.0430

a b c (Å): 3.561 2.745 6.234
angles (deg): 63.97 90.00 90.00
Atoms (fractional coordinates):
Au (0.500, 0.250, 0.250)
Ni (0.000, 0.027, 0.973)
Ir (0.500, 0.750, 0.750)
Ni (0.000, 0.473, 0.527)

---

No. 3
Here is a relaxed K3NaCr crystal from Alexandria via LeMat-Bulk. Energies are from PBE.

Summary:
Volume (Å³ per cell): 313
Calculated formation energy (meV per atom): 607.2
Raw total energy (eV for the cell shown): -11.20
ΔE to the lowest computed polymorph (eV per atom): 0.0000

a b c (Å): 6.793 6.793 6.793
angles (deg): 90.00 90.00 90.00
Atoms (fractional coordinates):
K (0.000, 0.000, 0.500)
Cr (0.000, 0.000, 0.000)
K (0.000, 0.500, 0.000)
K (0.500, 0.000, 0.000)
Na (0.500, 0.500, 0.500)

---

No. 4
Here is a relaxed SiTcNiRh crystal from Alexandria via LeMat-Bulk. Energies are from PBE.

Summary:
Volume (Å³ per cell): 106
Raw total energy (eV for the cell shown): -60.08
Energy relative to the elements, uncorrected (eV/atom): -0.28

a b c (Å): 3.719 2.764 10.302
angles (deg): 90.00 90.00 90.00
Atoms (fractional coordinates):
Rh (0.000, 0.000, 0.750)
Tc (0.000, 0.000, 0.005)
Rh (0.000, 0.500, 0.250)
Si (0.500, 0.500, 0.112)
Si (0.500, 0.000, 0.612)
Ni (0.500, 0.000, 0.380)
Ni (0.500, 0.500, 0.880)
Tc (0.000, 0.500, 0.505)

---

No. 5
Here is a relaxed Ho3TeRhCl crystal from Alexandria via LeMat-Bulk. Energies are from PBE.

Summary:
Volume (Å³ per cell): 334
Raw total energy (eV for the cell shown): -65.83
Energy relative to the elements, uncorrected (eV/atom): -1.14

a b c (Å): 4.107 8.403 9.723
angles (deg): 95.40 90.00 90.00
Atoms (fractional coordinates):
Ho (0.250, 0.632, 0.822)
Ho (0.750, 0.800, 0.120)
Ho (0.750, 0.355, 0.602)
Te (0.250, 0.088, 0.180)
Rh (0.750, 0.432, 0.889)
Cl (0.750, 0.852, 0.417)
Ho (0.250, 0.645, 0.398)
Te (0.750, 0.912, 0.820)
Ho (0.250, 0.200, 0.880)
Ho (0.750, 0.368, 0.178)
Rh (0.250, 0.568, 0.111)
Cl (0.250, 0.148, 0.583)

---

No. 6
Here is a relaxed Al2Pd4Au3 crystal from Alexandria via LeMat-Bulk. Energies are from PBE.

Summary:
Volume (Å³ per cell): 144
Calculated formation energy (meV per atom): -470.3
Raw total energy (eV for the cell shown): -42.32

a b c (Å): 3.845 4.807 8.721
angles (deg): 78.83 90.00 66.43
Atoms (fractional coordinates):
Pd (0.016, 0.967, 0.317)
Au (0.000, 0.000, 0.000)
Al (0.673, 0.654, 0.219)
Pd (0.984, 0.033, 0.683)
Au (0.341, 0.319, 0.444)
Au (0.659, 0.681, 0.556)
Al (0.327, 0.346, 0.781)
Pd (0.320, 0.360, 0.118)
Pd (0.680, 0.640, 0.882)

---

No. 7
Here is a relaxed Y2VHgN crystal from Alexandria via LeMat-Bulk. Energies are from PBE.

Summary:
Volume (Å³ per cell): 98
Raw total energy (eV for the cell shown): -34.59
Energy relative to the elements, uncorrected (eV/atom): -0.78

a b c (Å): 4.980 4.980 3.934
angles (deg): 90.00 90.00 90.00
Atoms (fractional coordinates):
Y (0.500, 0.000, 0.000)
Hg (0.500, 0.500, 0.500)
N (0.000, 0.000, 0.000)
V (0.000, 0.000, 0.500)
Y (0.000, 0.500, 0.000)

---

No. 8
Here is a relaxed BaLi2CaAu crystal from Alexandria via LeMat-Bulk. Energies are from PBE.

Summary:
Volume (Å³ per cell): 161
Calculated formation energy (meV per atom): -194.0
Raw total energy (eV for the cell shown): -12.00

a b c (Å): 5.359 5.359 5.618
angles (deg): 90.00 90.00 90.00
Atoms (fractional coordinates):
Au (0.000, 0.000, 0.000)
Ba (0.500, 0.500, 0.500)
Ca (0.000, 0.000, 0.500)
Li (0.000, 0.500, 0.000)
Li (0.500, 0.000, 0.000)